VASP calculation (PBE) on CsMgGa2 after structural relaxation.

The formation energy comes out at -0.03 eV/atom. The density of states at the Fermi level is 5.6 states/eV/cell.

The structure belongs to space group R-3m (No. 166, hexagonal axes); the cell edges are 4.7222, 4.7222 and 21.0225 Å and the angles 90.00°, 90.00° and 120.00°. The distinct sites, in fractional coordinates, are Cs at (0.0000, 0.0000, 0.0000), Mg at (0.0000, 0.0000, 0.5000) and Ga at (0.0000, 0.0000, 0.1928).

VASP calculation (PBE) on PaPt6Rh2 after structural relaxation.

The formation energy comes out at -0.48 eV/atom. The density of states at the Fermi level is 22.4 states/eV/cell.

The structure belongs to space group C2/m (No. 12); the cell edges are 12.2939, 4.0207 and 6.3409 Å and the angles 90.00°, 109.21° and 90.00°. The distinct sites, in fractional coordinates, are Pa at (0.0000, 0.0000, 0.0000), Pt at (0.1102, 0.0000, 0.6653), Pt at (0.1668, 0.5000, 0.0056), Pt at (0.2261, 0.0000, 0.3389) and Rh at (0.0512, 0.5000, 0.3296).

VASP calculation (PBE) on Cd6RhAu2 after structural relaxation.

The formation energy comes out at -0.10 eV/atom. The relative energy among the computed polymorphs is 0.006 eV/atom. The density of states at the Fermi level is 5.2 states/eV/cell.

The structure belongs to space group C2/m (No. 12); the cell edges are 9.3255, 4.2938 and 9.1650 Å and the angles 90.00°, 107.35° and 90.00°. The distinct sites, in fractional coordinates, are Cd at (0.0006, 0.0000, 0.3132), Cd at (0.1631, 0.5000, 0.9042), Cd at (0.1662, 0.5000, 0.5599), Rh at (0.0000, 0.0000, 0.0000) and Au at (0.1711, 0.5000, 0.2224).

VASP calculation (PBE) on ReINO2 after structural relaxation.

The energy relative to the elements, uncorrected is 1.916 eV per atom. The density of states at the Fermi level is 4.4 states/eV/cell.

The structure belongs to space group P4/mmm (No. 123); the cell edges are 3.8720, 3.8720 and 4.1993 Å and the angles 90.00°, 90.00° and 90.00°. The distinct sites, in fractional coordinates, are Re at (0.0000, 0.0000, 0.0000), I at (0.5000, 0.5000, 0.0000), N at (0.5000, 0.5000, 0.5000) and O at (0.0000, 0.5000, 0.5000).

VASP calculation (PBE) on Pm4NiSeBr2 after structural relaxation.

The energy relative to the elements, uncorrected is -1.153 eV per atom. The density of states at the Fermi level is 3.8 states/eV/cell.

The structure belongs to space group P2/m (No. 10); the cell edges are 7.4539, 4.0249 and 7.6651 Å and the angles 90.00°, 107.23° and 90.00°. The distinct sites, in fractional coordinates, are Pm at (0.2096, 0.0000, 0.2016), Pm at (0.2513, 0.5000, 0.7887), Ni at (0.0000, 0.5000, 0.0000), Se at (0.5000, 0.0000, 0.0000), Br at (0.0000, 0.0000, 0.5000) and Br at (0.5000, 0.5000, 0.5000).

VASP calculation (PBE) on SiTe2Au after structural relaxation.

The energy relative to the elements, uncorrected is 0.141 eV per atom. The density of states at the Fermi level is 3.8 states/eV/cell.

The structure belongs to space group Cm (No. 8); the cell edges are 12.8482, 3.7830 and 4.4597 Å and the angles 90.00°, 96.59° and 90.00°. The distinct sites, in fractional coordinates, are Si at (0.0000, 0.0000, 0.0000), Te at (0.1122, 0.5000, 0.2896), Te at (0.3578, 0.0000, 0.6800) and Au at (0.3253, 0.5000, 0.1843).

VASP calculation (PBE) on PrThMg after structural relaxation.

The formation energy comes out at 0.14 eV/atom. The relative energy among the computed polymorphs is 0.165 eV/atom. The density of states at the Fermi level is 4.0 states/eV/cell.

The structure belongs to space group P3m1 (No. 156); the cell edges are 5.5171, 5.5171 and 3.5068 Å and the angles 90.00°, 90.00° and 120.00°. The distinct sites, in fractional coordinates, are Pr at (0.0000, 0.0000, 0.0000), Th at (0.3333, 0.6667, 0.5685) and Mg at (0.6667, 0.3333, 0.2282).

VASP calculation (PBE) on Ac5Ir2Os after structural relaxation.

The formation energy comes out at -0.33 eV/atom. The density of states at the Fermi level is 19.0 states/eV/cell.

The structure belongs to space group Cmcm (No. 63); the cell edges are 5.8966, 13.9699 and 14.5901 Å and the angles 90.00°, 90.00° and 90.00°. The distinct sites, in fractional coordinates, are Ac at (0.0000, 0.0515, 0.1194), Ac at (0.0000, 0.2542, 0.7500), Ac at (0.0000, 0.3247, 0.0699), Ir at (0.0000, 0.1476, 0.5608) and Os at (0.0000, 0.2033, 0.2500).

VASP calculation (PBE) on La5ThBi4 after structural relaxation.

The formation energy comes out at -0.58 eV/atom. The density of states at the Fermi level is 18.5 states/eV/cell.

The structure belongs to space group C2/m (No. 12); the cell edges are 19.8533, 4.5621 and 9.0968 Å and the angles 90.00°, 104.84° and 90.00°. The distinct sites, in fractional coordinates, are La at (0.0000, 0.0000, 0.0000), La at (0.1632, 0.5000, 0.3221), La at (0.1787, 0.5000, 0.8472), Th at (0.0000, 0.0000, 0.5000), Bi at (0.0086, 0.5000, 0.7545) and Bi at (0.1682, 0.0000, 0.5836).

VASP calculation (PBE) on YZr2Ru after structural relaxation.

The formation energy comes out at 0.04 eV/atom. The relative energy among the computed polymorphs is 0.311 eV/atom. The density of states at the Fermi level is 9.2 states/eV/cell.

The structure belongs to space group I4/mmm (No. 139); the cell edges are 4.0509, 4.0509 and 10.4630 Å and the angles 90.00°, 90.00° and 90.00°. The distinct sites, in fractional coordinates, are Y at (0.0000, 0.0000, 0.0000), Zr at (0.0000, 0.5000, 0.2500) and Ru at (0.0000, 0.0000, 0.5000).

VASP calculation (PBE) on Sc2Al5Pd3 after structural relaxation.

The formation energy comes out at -0.77 eV/atom. The density of states at the Fermi level is 20.5 states/eV/cell.

The structure belongs to space group Cmc2_1 (No. 36); the cell edges are 4.2592, 24.7464 and 6.4932 Å and the angles 90.00°, 90.00° and 90.00°. The distinct sites, in fractional coordinates, are Sc at (0.0000, 0.0169, 0.0000), Sc at (0.0000, 0.3258, 0.9648), Al at (0.0000, 0.1010, 0.6517), Al at (0.0000, 0.2065, 0.1601), Al at (0.0000, 0.2096, 0.7463), Al at (0.0000, 0.3750, 0.4904), Al at (0.0000, 0.4469, 0.8228), Pd at (0.0000, 0.1066, 0.2535), Pd at (0.0000, 0.2738, 0.4501) and Pd at (0.0000, 0.4519, 0.2204).

VASP calculation (PBE) on MgAl2Mo2 after structural relaxation.

The formation energy comes out at 0.06 eV/atom. The relative energy among the computed polymorphs is 0.038 eV/atom. The density of states at the Fermi level is 3.8 states/eV/cell.

The structure belongs to space group P4/mbm (No. 127); the cell edges are 7.6849, 7.6849 and 2.9480 Å and the angles 90.00°, 90.00° and 90.00°. The distinct sites, in fractional coordinates, are Mg at (0.0000, 0.0000, 0.0000), Al at (0.1827, 0.3173, 0.5000) and Mo at (0.1108, 0.6108, 0.0000).

VASP calculation (PBE) on MgSn2B2Rh5 after structural relaxation.

The formation energy comes out at -0.33 eV/atom. The density of states at the Fermi level is 7.0 states/eV/cell.

The structure belongs to space group P4/mbm (No. 127); the cell edges are 9.5505, 9.5505 and 3.1029 Å and the angles 90.00°, 90.00° and 90.00°. The distinct sites, in fractional coordinates, are Mg at (0.0000, 0.0000, 0.0000), Sn at (0.1777, 0.3223, 0.0000), B at (0.1240, 0.6240, 0.0000), Rh at (0.0000, 0.5000, 0.5000) and Rh at (0.0726, 0.7783, 0.5000).

VASP calculation (PBE) on Sb5Pd12S2 after structural relaxation.

The energy relative to the elements, uncorrected is -0.249 eV per atom. The density of states at the Fermi level is 15.4 states/eV/cell.

The structure belongs to space group C2/m (No. 12); the cell edges are 15.1110, 5.6527 and 9.0287 Å and the angles 90.00°, 109.73° and 90.00°. The distinct sites, in fractional coordinates, are Sb at (0.0000, 0.0000, 0.0000), Sb at (0.1629, 0.5000, 0.3339), Sb at (0.1765, 0.5000, 0.8307), Pd at (0.0083, 0.5000, 0.8530), Pd at (0.0638, 0.0000, 0.7472), Pd at (0.1639, 0.2489, 0.0778), Pd at (0.1800, 0.2440, 0.5883) and S at (0.0000, 0.2455, 0.5000).

VASP calculation (PBE) on U2CrCo9 after structural relaxation.

The formation energy comes out at -0.13 eV/atom. The density of states at the Fermi level is 9.6 states/eV/cell.

The structure belongs to space group P4/mmm (No. 123); the cell edges are 3.7030, 3.7030 and 10.8760 Å and the angles 90.00°, 90.00° and 90.00°. The distinct sites, in fractional coordinates, are U at (0.0000, 0.0000, 0.1743), Cr at (0.0000, 0.0000, 0.5000), Co at (0.0000, 0.5000, 0.0000), Co at (0.0000, 0.5000, 0.3481), Co at (0.5000, 0.5000, 0.1741) and Co at (0.5000, 0.5000, 0.5000).

VASP calculation (PBE) on RePPb after structural relaxation.

The formation energy comes out at 0.53 eV/atom. The relative energy among the computed polymorphs is 0.534 eV/atom. The density of states at the Fermi level is 8.5 states/eV/cell.

The structure belongs to space group Fmm2 (No. 42); the cell edges are 3.3261, 5.1315 and 14.5864 Å and the angles 90.00°, 90.00° and 90.00°. The distinct sites, in fractional coordinates, are Re at (0.0000, 0.0000, 0.0000), P at (0.0000, 0.0000, 0.6085) and Pb at (0.0000, 0.0000, 0.3244).

VASP calculation (PBE) on La2NbBiB after structural relaxation.

The formation energy comes out at 0.53 eV/atom. The density of states at the Fermi level is 6.1 states/eV/cell.

The structure belongs to space group P4/mmm (No. 123); the cell edges are 5.2593, 5.2593 and 4.8878 Å and the angles 90.00°, 90.00° and 90.00°. The distinct sites, in fractional coordinates, are La at (0.0000, 0.5000, 0.0000), Nb at (0.0000, 0.0000, 0.5000), Bi at (0.5000, 0.5000, 0.5000) and B at (0.5000, 0.5000, 0.0000).

VASP calculation (PBE) on Nd3YTh2N6 after structural relaxation.

The energy relative to the elements, uncorrected is -1.532 eV per atom. The density of states at the Fermi level is 3.8 states/eV/cell.

The structure belongs to space group C2/m (No. 12); the cell edges are 6.2870, 10.8878 and 6.2871 Å and the angles 90.00°, 109.42° and 90.00°. The distinct sites, in fractional coordinates, are Nd at (0.0000, 0.0000, 0.0000), Nd at (0.0000, 0.3354, 0.0000), Y at (0.0000, 0.5000, 0.5000), Th at (0.0000, 0.1670, 0.5000), N at (0.2454, 0.0000, 0.7374) and N at (0.2452, 0.3332, 0.7353).

VASP calculation (PBE) on ReTcGe after structural relaxation.

The formation energy comes out at 0.01 eV/atom. The relative energy among the computed polymorphs is 0.000 eV/atom. The density of states at the Fermi level is 3.8 states/eV/cell.

The structure belongs to space group P2_1/m (No. 11); the cell edges are 5.7402, 2.9526 and 5.7404 Å and the angles 90.00°, 104.45° and 90.00°. The distinct sites, in fractional coordinates, are Re at (0.0994, 0.2500, 0.3705), Tc at (0.4210, 0.7500, 0.6632) and Ge at (0.2360, 0.7500, 0.0410).

VASP calculation (PBE) on Th2ScRh2 after structural relaxation.

The formation energy comes out at -0.78 eV/atom. The density of states at the Fermi level is 10.1 states/eV/cell.

The structure belongs to space group P4/mbm (No. 127); the cell edges are 7.6726, 7.6726 and 3.9227 Å and the angles 90.00°, 90.00° and 90.00°. The distinct sites, in fractional coordinates, are Th at (0.1720, 0.3280, 0.0000), Sc at (0.0000, 0.0000, 0.5000) and Rh at (0.1358, 0.6358, 0.5000).

VASP calculation (PBE) on ScTa3W after structural relaxation.

The formation energy comes out at 1.20 eV/atom. The relative energy among the computed polymorphs is 0.000 eV/atom. The density of states at the Fermi level is 4.1 states/eV/cell.

The structure belongs to space group Pm-3m (No. 221); the cell edges are 4.8933, 4.8933 and 4.8933 Å and the angles 90.00°, 90.00° and 90.00°. The distinct sites, in fractional coordinates, are Sc at (0.0000, 0.0000, 0.0000), Ta at (0.0000, 0.5000, 0.5000) and W at (0.5000, 0.5000, 0.5000).

VASP calculation (PBE) on Pm2Nd2Th after structural relaxation.

The formation energy comes out at 0.02 eV/atom. The relative energy among the computed polymorphs is 0.000 eV/atom. The density of states at the Fermi level is 21.7 states/eV/cell.

The structure belongs to space group R-3m (No. 166, hexagonal axes); the cell edges are 3.6485, 3.6485 and 44.6418 Å and the angles 90.00°, 90.00° and 120.00°. The distinct sites, in fractional coordinates, are Pm at (0.0000, 0.0000, 0.1026), Nd at (0.0000, 0.0000, 0.3002) and Th at (0.0000, 0.0000, 0.5000).

VASP calculation (PBE) on Ba2Os3RuO12 after structural relaxation.

The energy relative to the elements, uncorrected is -1.402 eV per atom. The density of states at the Fermi level is 28.6 states/eV/cell.

The structure belongs to space group R-3m (No. 166, hexagonal axes); the cell edges are 7.3043, 7.3043 and 17.5041 Å and the angles 90.00°, 90.00° and 120.00°. The distinct sites, in fractional coordinates, are Ba at (0.0000, 0.0000, 0.1661), Os at (0.0000, 0.5000, 0.0000), Ru at (0.0000, 0.0000, 0.5000), O at (0.0705, 0.5352, 0.1062) and O at (0.0806, 0.5403, 0.3585).